(1)
Here is a relaxed RbMo2P3O12 crystal from the Alexandria database. Energies are from PBEsol.

a = 8.8597 Å, b = 9.2817 Å, c = 12.3010 Å
α = 90.00°, β = 90.00°, γ = 90.00°
Last column: nearest neighbours and their distance in Å.
Fractional positions:
Rb1 0.1845 0.8343 0.7500  5 O 2.83-3.06
Rb2 0.1845 0.6657 0.2500  5 O 2.83-3.06
Rb3 0.8155 0.3343 0.7500  5 O 2.83-3.06
Rb4 0.8155 0.1657 0.2500  5 O 2.83-3.06
Mo1 0.2471 0.0288 0.3983  6 O 1.85-2.06
Mo2 0.2471 0.4712 0.6017  6 O 1.85-2.06
Mo3 0.7529 0.5288 0.1017  6 O 1.85-2.06
Mo4 0.7529 0.9712 0.8983  6 O 1.85-2.06
Mo5 0.7529 0.9712 0.6017  6 O 1.85-2.06
Mo6 0.7529 0.5288 0.3983  6 O 1.85-2.06
Mo7 0.2471 0.4712 0.8983  6 O 1.85-2.06
Mo8 0.2471 0.0288 0.1017  6 O 1.85-2.06
P1 0.4077 0.3602 0.3710  4 O 1.51-1.62
P2 0.4077 0.1398 0.6290  4 O 1.51-1.62
P3 0.5923 0.8602 0.1290  4 O 1.51-1.62
P4 0.5923 0.6398 0.8710  4 O 1.51-1.62
P5 0.5923 0.6398 0.6290  4 O 1.51-1.62
P6 0.5923 0.8602 0.3710  4 O 1.51-1.62
P7 0.4077 0.1398 0.8710  4 O 1.51-1.62
P8 0.4077 0.3602 0.1290  4 O 1.51-1.62
P9 0.9757 0.2500 0.5000  4 O 1.54
P10 0.0243 0.7500 0.0000  4 O 1.54
P11 0.0243 0.7500 0.5000  4 O 1.54
P12 0.9757 0.2500 0.0000  4 O 1.54
O1 0.6413 0.5903 0.7500  2 P 1.62
O2 0.6413 0.9097 0.2500  2 P 1.62
O3 0.3587 0.0903 0.7500  2 P 1.62
O4 0.3587 0.4097 0.2500  2 P 1.62
O5 0.0699 0.1634 0.4177  1 P 1.54
O6 0.0699 0.3366 0.5823  1 P 1.54
O7 0.9301 0.6634 0.0823  1 P 1.54
O8 0.9301 0.8366 0.9177  1 P 1.54
O9 0.9301 0.8366 0.5823  1 P 1.54
O10 0.9301 0.6634 0.4177  1 P 1.54
O11 0.0699 0.3366 0.9177  1 P 1.54
O12 0.0699 0.1634 0.0823  1 P 1.54
O13 0.4263 0.8934 0.3858  1 P 1.51
O14 0.4263 0.6066 0.6142  1 P 1.51
O15 0.5737 0.3934 0.1142  1 P 1.51
O16 0.5737 0.1066 0.8858  1 P 1.51
O17 0.5737 0.1066 0.6142  1 P 1.51
O18 0.6121 0.8020 0.6215  1 P 1.52
O19 0.5737 0.3934 0.3858  1 P 1.51
O20 0.4263 0.8934 0.1142  1 P 1.51
O21 0.3879 0.1980 0.3785  1 P 1.52
O22 0.3879 0.3020 0.6215  1 P 1.52
O23 0.6121 0.6980 0.1215  1 P 1.52
O24 0.6121 0.8020 0.8785  1 P 1.52
O25 0.2164 0.0177 0.2500  2 Mo 1.85
O26 0.2164 0.4823 0.7500  2 Mo 1.85
O27 0.7836 0.5177 0.2500  2 Mo 1.85
O28 0.7836 0.9823 0.7500  2 Mo 1.85
O29 0.1236 0.8510 0.0687  1 P 1.54
O30 0.1236 0.6490 0.9313  1 P 1.54
O31 0.8764 0.3510 0.4313  1 P 1.54
O32 0.8764 0.1490 0.5687  1 P 1.54
O33 0.8764 0.1490 0.9313  1 P 1.54
O34 0.8764 0.3510 0.0687  1 P 1.54
O35 0.1236 0.6490 0.5687  1 P 1.54
O36 0.1236 0.8510 0.4313  1 P 1.54
O37 0.2983 0.0495 0.9390  1 P 1.53
O38 0.2983 0.4505 0.0610  1 P 1.53
O39 0.7017 0.5495 0.5610  1 P 1.53
O40 0.7017 0.9505 0.4390  1 P 1.53
O41 0.7017 0.9505 0.0610  1 P 1.53
O42 0.7017 0.5495 0.9390  1 P 1.53
O43 0.2983 0.4505 0.4390  1 P 1.53
O44 0.2983 0.0495 0.5610  1 P 1.53
O45 0.3879 0.1980 0.1215  1 P 1.52
O46 0.3879 0.3020 0.8785  1 P 1.52
O47 0.6121 0.6980 0.3785  1 P 1.52
O48 0.4263 0.6066 0.8858  1 P 1.51

Properties
E (eV/cell): -572.56
Uncorrected formation energy (eV/atom): -2.12
Symmetry: Pbcm

=====

(2)
Here is a relaxed Ta5Mo crystal from the Alexandria database. Energies are from PBEsol.

a = 3.2314 Å, b = 5.4007 Å, c = 6.5293 Å
α = 107.52°, β = 90.00°, γ = 107.41°
Last column: nearest neighbours and their distance in Å.
Fractional positions:
Mo1 0.0000 0.0000 0.0000  8 Ta 2.75-2.79
Ta1 0.3397 0.6795 0.1632  2 Mo 2.75, 6 Ta 2.81-2.86
Ta2 0.6653 0.3306 0.3269  2 Mo 2.79, 6 Ta 2.83-2.88
Ta3 0.0000 0.0000 0.5000  8 Ta 2.81-2.83
Ta4 0.3347 0.6694 0.6731  2 Mo 2.79, 6 Ta 2.83-2.88
Ta5 0.6603 0.3205 0.8368  2 Mo 2.75, 6 Ta 2.81-2.86

Properties
E (eV/cell): -74.91
Formation energy (eV/atom): -0.06
Symmetry: C2/m
Relative energy among the computed polymorphs (eV/atom): 0.0015

=====

(3)
Here is a relaxed LaAl3O6 crystal from the Alexandria database. Energies are from PBEsol.

a = 6.2184 Å, b = 6.9578 Å, c = 6.9578 Å
α = 101.24°, β = 111.88°, γ = 68.12°
Last column: nearest neighbours and their distance in Å.
Fractional positions:
La1 0.2500 0.1852 0.1852  4 O 2.35-2.52
La2 0.7500 0.8148 0.8148  4 O 2.35-2.52
Al1 0.2500 0.8102 0.8102  4 O 1.72-1.76
Al2 0.3224 0.6453 0.2390  4 O 1.75-1.82
Al3 0.1776 0.2390 0.6453  4 O 1.75-1.82
Al4 0.8224 0.7610 0.3547  4 O 1.75-1.82
Al5 0.6776 0.3547 0.7610  4 O 1.75-1.82
Al6 0.7500 0.1898 0.1898  4 O 1.72-1.76
O1 0.5226 0.6137 0.8207  2 Al 1.72-1.75
O2 0.3219 0.0323 0.8126  2 Al 1.76-1.77
O3 0.4368 0.2565 0.5959  2 Al 1.79-1.82
O4 0.1781 0.8126 0.0323  2 Al 1.76-1.77
O5 0.9774 0.8207 0.6137  2 Al 1.72-1.75
O6 0.9368 0.4041 0.7435  2 Al 1.79-1.82
O7 0.0632 0.5959 0.2565  2 Al 1.79-1.82
O8 0.0226 0.1793 0.3863  2 Al 1.72-1.75
O9 0.8219 0.1874 0.9677  2 Al 1.76-1.77
O10 0.5632 0.7435 0.4041  2 Al 1.79-1.82
O11 0.6781 0.9677 0.1874  2 Al 1.76-1.77
O12 0.4774 0.3863 0.1793  2 Al 1.72-1.75

Properties
E (eV/cell): -160.11
Uncorrected formation energy (eV/atom): -3.09
Symmetry: C2/c